1.
Material: TePtCI2
Method: DFT, PBE
State: optimized geometry

Cell lengths 4.963, 4.963, 4.658 Å; angles 90.00, 90.00, 90.00 degrees
Space group P4/mmm (No. 123)
Symmetry-distinct sites (fractional):
Te: 0.000 0.000 0.000 (multiplicity 1)
Pt: 0.500 0.500 0.000 (multiplicity 1)
C: 0.000 0.000 0.500 (multiplicity 1)
I: 0.000 0.500 0.500 (multiplicity 2)

Summary:
Energy above the most stable polymorph in this dataset in meV per atom: 0
ΔE_f (raw) in eV/atom: 1.51

***

2.
Material: Te2PtCI
Method: DFT, PBE
State: optimized geometry

Cell lengths 4.729, 4.729, 4.848 Å; angles 90.00, 90.00, 90.00 degrees
Space group P4/mmm (No. 123)
Symmetry-distinct sites (fractional):
Te: 0.000 0.500 0.000 (multiplicity 2)
Pt: 0.000 0.000 0.500 (multiplicity 1)
C: 0.500 0.500 0.000 (multiplicity 1)
I: 0.500 0.500 0.500 (multiplicity 1)

Summary:
Energy above the most stable polymorph in this dataset in meV per atom: 0
ΔE_f (raw) in eV/atom: 1.37

***

3.
Material: Te2PtCI
Method: DFT, PBE
State: optimized geometry

Cell lengths 5.319, 5.319, 5.528 Å; angles 90.00, 90.00, 90.00 degrees
Space group P4/mmm (No. 123)
Symmetry-distinct sites (fractional):
Te: 0.000 0.500 0.000 (multiplicity 2)
Pt: 0.000 0.000 0.000 (multiplicity 1)
C: 0.500 0.500 0.500 (multiplicity 1)
I: 0.000 0.000 0.500 (multiplicity 1)

Summary:
Energy above the most stable polymorph in this dataset in meV per atom: 309
ΔE_f (raw) in eV/atom: 1.67

***

4.
Material: TePtCI2
Method: DFT, PBE
State: optimized geometry

Cell lengths 5.566, 5.566, 5.212 Å; angles 90.00, 90.00, 90.00 degrees
Space group P4/mmm (No. 123)
Symmetry-distinct sites (fractional):
Te: 0.000 0.000 0.000 (multiplicity 1)
Pt: 0.000 0.000 0.500 (multiplicity 1)
C: 0.500 0.500 0.000 (multiplicity 1)
I: 0.000 0.500 0.500 (multiplicity 2)

Summary:
Energy above the most stable polymorph in this dataset in meV per atom: 103
ΔE_f (raw) in eV/atom: 1.62

***

5.
Material: TlPtC2I
Method: DFT, PBE
State: optimized geometry

Cell lengths 4.112, 4.112, 8.646 Å; angles 90.00, 90.00, 90.00 degrees
Space group P4/mmm (No. 123)
Symmetry-distinct sites (fractional):
Tl: 0.000 0.000 0.000 (multiplicity 1)
Pt: 0.500 0.500 0.500 (multiplicity 1)
C: 0.000 0.500 0.500 (multiplicity 2)
I: 0.500 0.500 0.000 (multiplicity 1)

Summary:
Energy above the most stable polymorph in this dataset in meV per atom: 0
ΔE_f (raw) in eV/atom: 1.53

***

6.
Material: TlPtC2I
Method: DFT, PBE
State: optimized geometry

Cell lengths 4.109, 4.109, 7.440 Å; angles 90.00, 90.00, 90.00 degrees
Space group P4/mmm (No. 123)
Symmetry-distinct sites (fractional):
Tl: 0.000 0.000 0.000 (multiplicity 1)
Pt: 0.500 0.500 0.000 (multiplicity 1)
C: 0.000 0.500 0.500 (multiplicity 2)
I: 0.000 0.000 0.500 (multiplicity 1)

Summary:
Energy above the most stable polymorph in this dataset in meV per atom: 1164
ΔE_f (raw) in eV/atom: 2.69

***

7.
Material: PuCI
Method: DFT, PBE
State: optimized geometry

Cell lengths 3.853, 3.858, 10.194 Å; angles 89.60, 89.82, 89.54 degrees
Space group P-1 (No. 2)
Symmetry-distinct sites (fractional):
Pu: 0.249 0.248 0.120 (multiplicity 2)
C: 0.250 0.750 0.001 (multiplicity 2)
I: 0.252 0.255 0.694 (multiplicity 2)

Summary:
ΔE_f (raw) in eV/atom: -0.23

***

8.
Material: Pu2CI
Method: DFT, PBE
State: optimized geometry

Cell lengths 3.7560, 3.7560, 22.9601 Å; angles 90.00, 90.00, 120.00 degrees
Space group R-3m (No. 166, hexagonal axes)
Symmetry-distinct sites (fractional):
Pu: 0.0000 0.0000 0.2232 (multiplicity 6)
C: 0.0000 0.0000 0.5000 (multiplicity 3)
I: 0.0000 0.0000 0.0000 (multiplicity 3)

Summary:
ΔE_f (raw) in eV/atom: -0.38

***

9.
Material: Pu2C2I
Method: DFT, PBE
State: optimized geometry

Cell lengths 15.435, 4.097, 6.510 Å; angles 90.00, 99.46, 90.00 degrees
Space group C2/c (No. 15)
Symmetry-distinct sites (fractional):
Pu: 0.160 0.182 0.154 (multiplicity 8)
C: 0.225 0.380 0.527 (multiplicity 8)
I: 0.000 0.294 0.750 (multiplicity 4)

Summary:
ΔE_f (raw) in eV/atom: -0.37

***

10.
Material: SmPuCI
Method: DFT, PBE
State: optimized geometry

Cell lengths 3.7718, 3.7718, 23.1481 Å; angles 90.00, 90.00, 120.00 degrees
Space group R3m (No. 160, hexagonal axes)
Symmetry-distinct sites (fractional):
Sm: 0.0000 0.0000 0.0000 (multiplicity 3)
Pu: 0.0000 0.0000 0.7824 (multiplicity 3)
C: 0.0000 0.0000 0.3936 (multiplicity 3)
I: 0.0000 0.0000 0.2249 (multiplicity 3)

Summary:
ΔE_f (raw) in eV/atom: -0.52

***

11.
Material: Rb2CI7
Method: DFT, PBE
State: optimized geometry

Cell lengths 7.882, 7.882, 13.485 Å; angles 90.00, 90.00, 90.00 degrees
Space group I4/mmm (No. 139)
Symmetry-distinct sites (fractional):
Rb: 0.000 0.500 0.250 (multiplicity 4)
C: 0.000 0.000 0.000 (multiplicity 2)
I: 0.000 0.000 0.209 (multiplicity 4)
I: 0.000 0.000 0.500 (multiplicity 2)
I: 0.227 0.227 0.000 (multiplicity 8)

Summary:
ΔE_f (raw) in eV/atom: -0.05

***

12.
Material: RbC2I
Method: DFT, PBE
State: optimized geometry

Cell lengths 7.340, 7.340, 7.340 Å; angles 90.00, 90.00, 90.00 degrees
Space group Fm-3m (No. 225)
Symmetry-distinct sites (fractional):
Rb: 0.000 0.000 0.000 (multiplicity 4)
C: 0.250 0.250 0.250 (multiplicity 8)
I: 0.000 0.000 0.500 (multiplicity 4)

Summary:
Energy above the most stable polymorph in this dataset in meV per atom: 589
ΔE_f (raw) in eV/atom: 2.75

***

13.
Material: Rb3CI
Method: DFT, PBE
State: optimized geometry

Cell lengths 6.042, 6.042, 6.042 Å; angles 90.00, 90.00, 90.00 degrees
Space group Pm-3m (No. 221)
Symmetry-distinct sites (fractional):
Rb: 0.000 0.000 0.500 (multiplicity 3)
C: 0.000 0.000 0.000 (multiplicity 1)
I: 0.500 0.500 0.500 (multiplicity 1)

Summary:
Energy above the most stable polymorph in this dataset in meV per atom: 0
ΔE_f (raw) in eV/atom: 0.30

***

14.
Material: RbC3I
Method: DFT, PBE
State: optimized geometry

Cell lengths 4.517, 4.517, 4.517 Å; angles 90.00, 90.00, 90.00 degrees
Space group Pm-3m (No. 221)
Symmetry-distinct sites (fractional):
Rb: 0.000 0.000 0.000 (multiplicity 1)
C: 0.000 0.500 0.500 (multiplicity 3)
I: 0.500 0.500 0.500 (multiplicity 1)

Summary:
Energy above the most stable polymorph in this dataset in meV per atom: 0
ΔE_f (raw) in eV/atom: 3.13

***

15.
Material: RbC2I
Method: DFT, PBE
State: optimized geometry

Cell lengths 6.701, 6.701, 7.846 Å; angles 90.00, 90.00, 90.00 degrees
Space group I-42d (No. 122)
Symmetry-distinct sites (fractional):
Rb: 0.000 0.000 0.000 (multiplicity 4)
C: 0.147 0.750 0.625 (multiplicity 8)
I: 0.000 0.000 0.500 (multiplicity 4)

Summary:
Energy above the most stable polymorph in this dataset in meV per atom: 0
ΔE_f (raw) in eV/atom: 2.16

***

16.
Material: RbCI
Method: DFT, PBE
State: optimized geometry

Cell lengths 20.744, 2.946, 6.773 Å; angles 90.00, 107.88, 90.00 degrees
Space group C2/m (No. 12)
Symmetry-distinct sites (fractional):
Rb: 0.106 0.000 0.348 (multiplicity 4)
C: 0.247 0.500 0.496 (multiplicity 4)
I: 0.071 0.500 0.816 (multiplicity 4)

Summary:
ΔE_f (raw) in eV/atom: 0.22

***

17.
Material: RbC3I
Method: DFT, PBE
State: optimized geometry

Cell lengths 5.665, 5.665, 5.665 Å; angles 90.00, 90.00, 90.00 degrees
Space group Pm-3m (No. 221)
Symmetry-distinct sites (fractional):
Rb: 0.000 0.000 0.000 (multiplicity 1)
C: 0.000 0.000 0.500 (multiplicity 3)
I: 0.500 0.500 0.500 (multiplicity 1)

Summary:
Energy above the most stable polymorph in this dataset in meV per atom: 901
ΔE_f (raw) in eV/atom: 4.03

***

18.
Material: Rb2RhCI6
Method: DFT, PBE
State: optimized geometry

Cell lengths 7.553, 7.553, 12.560 Å; angles 90.00, 90.00, 90.00 degrees
Space group I4/mmm (No. 139)
Symmetry-distinct sites (fractional):
Rb: 0.000 0.500 0.250 (multiplicity 4)
Rh: 0.000 0.000 0.000 (multiplicity 2)
C: 0.000 0.000 0.500 (multiplicity 2)
I: 0.000 0.000 0.215 (multiplicity 4)
I: 0.241 0.241 0.500 (multiplicity 8)

Summary:
ΔE_f (raw) in eV/atom: -0.08

***

19.
Material: Rb2CSI6
Method: DFT, PBE
State: optimized geometry

Cell lengths 7.712, 7.712, 11.480 Å; angles 90.00, 90.00, 90.00 degrees
Space group I4/mmm (No. 139)
Symmetry-distinct sites (fractional):
Rb: 0.000 0.500 0.250 (multiplicity 4)
C: 0.000 0.000 0.000 (multiplicity 2)
S: 0.000 0.000 0.500 (multiplicity 2)
I: 0.000 0.000 0.236 (multiplicity 4)
I: 0.241 0.241 0.000 (multiplicity 8)

Summary:
ΔE_f (raw) in eV/atom: -0.02

***

20.
Material: RbSbCI2
Method: DFT, PBE
State: optimized geometry

Cell lengths 5.972, 5.972, 4.480 Å; angles 90.00, 90.00, 90.00 degrees
Space group P4/mmm (No. 123)
Symmetry-distinct sites (fractional):
Rb: 0.000 0.000 0.000 (multiplicity 1)
Sb: 0.500 0.500 0.000 (multiplicity 1)
C: 0.500 0.500 0.500 (multiplicity 1)
I: 0.000 0.500 0.500 (multiplicity 2)

Summary:
Energy above the most stable polymorph in this dataset in meV per atom: 0
ΔE_f (raw) in eV/atom: 0.50

***

21.
Material: RbSbCI2
Method: DFT, PBE
State: optimized geometry

Cell lengths 6.994, 6.994, 7.848 Å; angles 90.00, 90.00, 90.00 degrees
Space group P4/mmm (No. 123)
Symmetry-distinct sites (fractional):
Rb: 0.000 0.000 0.000 (multiplicity 1)
Sb: 0.000 0.000 0.500 (multiplicity 1)
C: 0.500 0.500 0.500 (multiplicity 1)
I: 0.000 0.500 0.000 (multiplicity 2)

Summary:
Energy above the most stable polymorph in this dataset in meV per atom: 1264
ΔE_f (raw) in eV/atom: 1.76

***

22.
Material: Rb2CSeI6
Method: DFT, PBE
State: optimized geometry

Cell lengths 7.822, 7.822, 11.644 Å; angles 90.00, 90.00, 90.00 degrees
Space group I4/mmm (No. 139)
Symmetry-distinct sites (fractional):
Rb: 0.000 0.500 0.250 (multiplicity 4)
C: 0.000 0.000 0.000 (multiplicity 2)
Se: 0.000 0.000 0.500 (multiplicity 2)
I: 0.000 0.000 0.234 (multiplicity 4)
I: 0.237 0.237 0.000 (multiplicity 8)

Summary:
ΔE_f (raw) in eV/atom: -0.09

***

23.
Material: RbSrCI2
Method: DFT, PBE
State: optimized geometry

Cell lengths 6.476, 6.476, 7.228 Å; angles 90.00, 90.00, 90.00 degrees
Space group P4/mmm (No. 123)
Symmetry-distinct sites (fractional):
Rb: 0.000 0.000 0.000 (multiplicity 1)
Sr: 0.000 0.000 0.500 (multiplicity 1)
C: 0.500 0.500 0.500 (multiplicity 1)
I: 0.000 0.500 0.000 (multiplicity 2)

Summary:
Energy above the most stable polymorph in this dataset in meV per atom: 537
ΔE_f (raw) in eV/atom: 1.09

***

24.
Material: Rb2SrCI6
Method: DFT, PBE
State: optimized geometry

Cell lengths 11.846, 11.846, 11.846 Å; angles 90.00, 90.00, 90.00 degrees
Space group Fm-3m (No. 225)
Symmetry-distinct sites (fractional):
Rb: 0.250 0.250 0.250 (multiplicity 8)
Sr: 0.000 0.000 0.000 (multiplicity 4)
C: 0.000 0.000 0.500 (multiplicity 4)
I: 0.000 0.000 0.273 (multiplicity 24)

Summary:
ΔE_f (raw) in eV/atom: -0.54

***

25.
Material: RbSrCI2
Method: DFT, PBE
State: optimized geometry

Cell lengths 5.722, 5.722, 5.382 Å; angles 90.00, 90.00, 90.00 degrees
Space group P4/mmm (No. 123)
Symmetry-distinct sites (fractional):
Rb: 0.000 0.000 0.000 (multiplicity 1)
Sr: 0.500 0.500 0.000 (multiplicity 1)
C: 0.000 0.000 0.500 (multiplicity 1)
I: 0.000 0.500 0.500 (multiplicity 2)

Summary:
Energy above the most stable polymorph in this dataset in meV per atom: 0
ΔE_f (raw) in eV/atom: 0.56

***

26.
Material: Rb2TaCI6
Method: DFT, PBE
State: optimized geometry

Cell lengths 7.883, 7.883, 12.517 Å; angles 90.00, 90.00, 90.00 degrees
Space group I4/mmm (No. 139)
Symmetry-distinct sites (fractional):
Rb: 0.000 0.500 0.250 (multiplicity 4)
Ta: 0.000 0.000 0.000 (multiplicity 2)
C: 0.000 0.000 0.500 (multiplicity 2)
I: 0.000 0.000 0.225 (multiplicity 4)
I: 0.245 0.245 0.500 (multiplicity 8)

Summary:
ΔE_f (raw) in eV/atom: -0.09

***

27.
Material: RbTe2CI
Method: DFT, PBE
State: optimized geometry

Cell lengths 4.756, 4.756, 9.184 Å; angles 90.00, 90.00, 90.00 degrees
Space group P4/mmm (No. 123)
Symmetry-distinct sites (fractional):
Rb: 0.000 0.000 0.000 (multiplicity 1)
Te: 0.000 0.500 0.500 (multiplicity 2)
C: 0.500 0.500 0.500 (multiplicity 1)
I: 0.500 0.500 0.000 (multiplicity 1)

Summary:
Energy above the most stable polymorph in this dataset in meV per atom: 0
ΔE_f (raw) in eV/atom: 0.50